First-principles (PBE-GGA) data for Sr2CaCu6 after structural relaxation, as listed in the Alexandria database.

Results
- SG = P6/mmm, No. 191
- Fermi-level density of states (states/eV per atom) = 0.41

abc: 4.124 7.392 7.392
angles: 120.00 90.00 90.00
Fractional positions:
Sr 0.000 0.333 0.667
Sr 0.000 0.667 0.333
Ca 0.000 0.000 0.000
Cu 0.500 0.330 0.330
Cu 0.500 0.670 0.670
Cu 0.500 0.000 0.670
Cu 0.500 0.670 0.000
Cu 0.500 0.330 0.000
Cu 0.500 0.000 0.330

First-principles (PBE-GGA) data for AsPb2 after structural relaxation, as listed in the Alexandria database.

Results
- SG = Fm-3m, No. 225
- Fermi-level density of states (states/eV per atom) = 0.69

abc: 5.132 5.132 5.132
angles: 60.00 60.00 60.00
Fractional positions:
Pb 0.250 0.250 0.250
Pb 0.750 0.750 0.750
As 0.000 0.000 0.000

no.,energy of formation from the pure elements (eV per atom)
1,-0.08
2,0.11